1.
Computed, not measured: a relaxed structure of CaNdFeO4 at the PBE+U level of DFT.

```
data_CaNdFeO4
_cell_length_a 6.646
_cell_length_b 6.646
_cell_length_c 6.646
_cell_angle_alpha 147.14
_cell_angle_beta 147.14
_cell_angle_gamma 47.15
_space_group_name_H-M_alt 'P 1'
_space_group_IT_number 1
loop_
_space_group_symop_operation_xyz
'x,y,z'
loop_
_atom_site_label
_atom_site_type_symbol
_atom_site_fract_x
_atom_site_fract_y
_atom_site_fract_z
Ca1 Ca 0.000 0.000 0.000
Nd1 Nd 0.715 0.715 0.000
Fe1 Fe 0.363 0.363 0.000
O1 O 0.189 0.189 0.000
O2 O 0.352 0.852 0.500
O3 O 0.527 0.527 0.000
O4 O 0.852 0.352 0.500
```

Space-group type: I4mm
Crystal system: tetragonal
Total magnetic moment in Bohr magnetons per cell: 1.00
Polymorph energy (0 for the lowest one) in eV per formula unit: 1.600

=====

2.
Computed, not measured: a relaxed structure of CaNd2FeO5 at the PBE+U level of DFT.

```
data_CaNd2FeO5
_cell_length_a 6.696
_cell_length_b 6.696
_cell_length_c 5.663
_cell_angle_alpha 90.00
_cell_angle_beta 90.00
_cell_angle_gamma 90.00
_space_group_name_H-M_alt 'P 1'
_space_group_IT_number 1
loop_
_space_group_symop_operation_xyz
'x,y,z'
loop_
_atom_site_label
_atom_site_type_symbol
_atom_site_fract_x
_atom_site_fract_y
_atom_site_fract_z
Ca1 Ca 0.000 0.000 0.000
Ca2 Ca 0.500 0.500 0.000
Nd1 Nd 0.172 0.328 0.500
Nd2 Nd 0.328 0.828 0.500
Nd3 Nd 0.672 0.172 0.500
Nd4 Nd 0.828 0.672 0.500
Fe1 Fe 0.000 0.500 0.000
Fe2 Fe 0.500 0.000 0.000
O1 O 0.000 0.000 0.500
O2 O 0.143 0.643 0.235
O3 O 0.143 0.643 0.765
O4 O 0.357 0.143 0.235
O5 O 0.357 0.143 0.765
O6 O 0.500 0.500 0.500
O7 O 0.643 0.857 0.235
O8 O 0.643 0.857 0.765
O9 O 0.857 0.357 0.235
O10 O 0.857 0.357 0.765
```

Space-group type: P4/mbm
Raw total energy in eV/atom: -7.22
Crystal system: tetragonal
Total magnetic moment in Bohr magnetons per cell: 4.00

=====

3.
Computed, not measured: a relaxed structure of CaNdFeO4 at the PBE+U level of DFT.

```
data_CaNdFeO4
_cell_length_a 6.594
_cell_length_b 6.594
_cell_length_c 5.650
_cell_angle_alpha 90.00
_cell_angle_beta 90.00
_cell_angle_gamma 131.02
_space_group_name_H-M_alt 'P 1'
_space_group_IT_number 1
loop_
_space_group_symop_operation_xyz
'x,y,z'
loop_
_atom_site_label
_atom_site_type_symbol
_atom_site_fract_x
_atom_site_fract_y
_atom_site_fract_z
Ca1 Ca 0.104 0.896 0.500
Ca2 Ca 0.896 0.104 0.000
Nd1 Nd 0.390 0.610 0.466
Nd2 Nd 0.610 0.390 0.966
Fe1 Fe 0.247 0.753 0.981
Fe2 Fe 0.753 0.247 0.481
O1 O 0.021 0.476 0.735
O2 O 0.080 0.920 0.913
O3 O 0.425 0.575 0.054
O4 O 0.476 0.021 0.235
O5 O 0.524 0.979 0.735
O6 O 0.575 0.425 0.554
O7 O 0.920 0.080 0.413
O8 O 0.979 0.524 0.235
```

Space-group type: Cmc2_1
Crystal system: orthorhombic
Total magnetic moment in Bohr magnetons per cell: 10.00
Polymorph energy (0 for the lowest one) in eV per formula unit: 0.000

=====

Summary of calculated volume in Å³ per atom
12.301; 14.106; 13.238
(order as listed above)